No. 1
Entry from Alexandria: crystalline CoIrPd2Se6 at its relaxed geometry (PBE).

Output
As for the uncorrected formation energy: -0.25 eV per atom. As for the space group: C2/c, No. 15. Its raw total energy is -99.544 eV per cell.

```
CoIrPd2Se6
1.0
5.4114 -5.9670 0.0000
5.4114 5.9670 0.0000
-2.5344 0.0000 5.9871
Co Ir Pd Se
2 2 4 12
Direct
0.2293 0.7707 0.7500 Co
0.7707 0.2293 0.2500 Co
0.0828 0.9172 0.2500 Ir
0.9172 0.0828 0.7500 Ir
0.2906 0.4562 0.2594 Pd
0.4562 0.2906 0.7594 Pd
0.5438 0.7094 0.2406 Pd
0.7094 0.5438 0.7406 Pd
0.0421 0.2019 0.1649 Se
0.0789 0.6465 0.3544 Se
0.2019 0.0421 0.6649 Se
0.2696 0.5138 0.8661 Se
0.3535 0.9211 0.1456 Se
0.4862 0.7304 0.6339 Se
0.5138 0.2696 0.3661 Se
0.6465 0.0789 0.8544 Se
0.7304 0.4862 0.1339 Se
0.7981 0.9579 0.3351 Se
0.9211 0.3535 0.6456 Se
0.9579 0.7981 0.8351 Se
```



No. 2
Entry from Alexandria: crystalline Th6Co3Ir2Pd at its relaxed geometry (PBE).

Output
As for the space group: C2/m, No. 12. Its raw total energy is -95.623 eV per cell. The formation energy is -55 kJ per mole of atoms.

```
Th6Co3Ir2Pd
1.0
8.8692 -2.0177 0.0000
8.8692 2.0177 0.0000
-2.0090 0.0000 7.9012
Th Co Ir Pd
6 3 2 1
Direct
0.0027 0.0027 0.2347 Th
0.3276 0.3276 0.4227 Th
0.3343 0.3343 0.9149 Th
0.6657 0.6657 0.0851 Th
0.6724 0.6724 0.5773 Th
0.9973 0.9973 0.7653 Th
0.1643 0.1643 0.3320 Co
0.5000 0.5000 0.0000 Co
0.8357 0.8357 0.6680 Co
0.1644 0.1644 0.8269 Ir
0.8356 0.8356 0.1731 Ir
0.5000 0.5000 0.5000 Pd
```



No. 3
Entry from Alexandria: crystalline Ti5Co2IrPd2 at its relaxed geometry (PBE).

Output
As for the space group: P4/mbm, No. 127. Its raw total energy is -153.938 eV per cell. The formation energy is -39 kJ per mole of atoms.

```
Ti5Co2IrPd2
1.0
10.1630 0.0000 0.0000
0.0000 10.1630 0.0000
0.0000 0.0000 2.9748
Ti Co Ir Pd
10 4 2 4
Direct
0.0000 0.5000 0.0000 Ti
0.0848 0.1960 0.0000 Ti
0.1960 0.9152 0.0000 Ti
0.3040 0.4152 0.0000 Ti
0.4152 0.6960 0.0000 Ti
0.5000 0.0000 0.0000 Ti
0.5848 0.3040 0.0000 Ti
0.6960 0.5848 0.0000 Ti
0.8040 0.0848 0.0000 Ti
0.9152 0.8040 0.0000 Ti
0.1311 0.3689 0.5000 Co
0.3689 0.8689 0.5000 Co
0.6311 0.1311 0.5000 Co
0.8689 0.6311 0.5000 Co
0.0000 0.0000 0.5000 Ir
0.5000 0.5000 0.5000 Ir
0.1665 0.6665 0.5000 Pd
0.3335 0.1665 0.5000 Pd
0.6665 0.8335 0.5000 Pd
0.8335 0.3335 0.5000 Pd
```



No. 4
Entry from Alexandria: crystalline Ti5CoIr2Pd2 at its relaxed geometry (PBE).

Output
As for the space group: P4/mbm, No. 127. Its raw total energy is -157.843 eV per cell. The formation energy is -41 kJ per mole of atoms.

```
Ti5CoIr2Pd2
1.0
10.5259 0.0000 0.0000
0.0000 10.5259 0.0000
0.0000 0.0000 2.9207
Ti Co Ir Pd
10 2 4 4
Direct
0.0000 0.5000 0.0000 Ti
0.1212 0.1570 0.0000 Ti
0.1570 0.8788 0.0000 Ti
0.3430 0.3788 0.0000 Ti
0.3788 0.6570 0.0000 Ti
0.5000 0.0000 0.0000 Ti
0.6212 0.3430 0.0000 Ti
0.6570 0.6212 0.0000 Ti
0.8430 0.1212 0.0000 Ti
0.8788 0.8430 0.0000 Ti
0.0000 0.0000 0.5000 Co
0.5000 0.5000 0.5000 Co
0.1448 0.3552 0.5000 Ir
0.3552 0.8552 0.5000 Ir
0.6448 0.1448 0.5000 Ir
0.8552 0.6448 0.5000 Ir
0.1555 0.6555 0.5000 Pd
0.3445 0.1555 0.5000 Pd
0.6555 0.8445 0.5000 Pd
0.8445 0.3445 0.5000 Pd
```



No. 5
Entry from Alexandria: crystalline Y2CoIrPd at its relaxed geometry (PBE).

Output
As for the space group: P4/mmm, No. 123. Its raw total energy is -33.674 eV per cell. The formation energy is 8 kJ per mole of atoms.

```
Y2CoIrPd
1.0
5.3402 0.0000 0.0000
0.0000 5.3402 0.0000
0.0000 0.0000 4.3556
Y Co Ir Pd
2 1 1 1
Direct
0.0000 0.5000 0.0000 Y
0.5000 0.0000 0.0000 Y
0.0000 0.0000 0.5000 Co
0.0000 0.0000 0.0000 Ir
0.5000 0.5000 0.5000 Pd
```



No. 6
Entry from Alexandria: crystalline PmCoIr at its relaxed geometry (PBE).

Output
As for the space group: Imma, No. 74. Its raw total energy is -88.128 eV per cell. The formation energy is -42 kJ per mole of atoms. For the excess energy over the best structure of this formula in the dataset, the calculation gives 0 meV per atom.

```
PmCoIr
1.0
5.1637 0.0000 0.0000
0.0000 5.4530 0.0000
0.0000 0.0000 7.4177
Pm Co Ir
4 4 4
Direct
0.0000 0.2500 0.1226 Pm
0.0000 0.7500 0.8774 Pm
0.5000 0.2500 0.3774 Pm
0.5000 0.7500 0.6226 Pm
0.2500 0.2500 0.7500 Co
0.2500 0.7500 0.2500 Co
0.7500 0.2500 0.7500 Co
0.7500 0.7500 0.2500 Co
0.0000 0.0000 0.5000 Ir
0.0000 0.5000 0.5000 Ir
0.5000 0.0000 0.0000 Ir
0.5000 0.5000 0.0000 Ir
```



No. 7
Entry from Alexandria: crystalline PmCoIr at its relaxed geometry (PBE).

Output
As for the space group: P-6m2, No. 187. Its raw total energy is -21.871 eV per cell. The formation energy is -37 kJ per mole of atoms. For the excess energy over the best structure of this formula in the dataset, the calculation gives 54 meV per atom.

```
PmCoIr
1.0
4.0918 0.0000 0.0000
-2.0459 3.5436 0.0000
0.0000 0.0000 4.1444
Pm Co Ir
1 1 1
Direct
0.0000 0.0000 0.0000 Pm
0.3333 0.6667 0.5000 Co
0.6667 0.3333 0.5000 Ir
```



No. 8
Entry from Alexandria: crystalline Pm5Co2Ir at its relaxed geometry (PBE).

Output
As for the space group: I4/mcm, No. 140. Its raw total energy is -97.988 eV per cell. The formation energy is -26 kJ per mole of atoms.

```
Pm5Co2Ir
1.0
-3.6511 3.6511 7.2560
3.6511 -3.6511 7.2560
3.6511 3.6511 -7.2560
Pm Co Ir
10 4 2
Direct
0.0000 0.0000 0.0000 Pm
0.0367 0.5367 0.8576 Pm
0.1792 0.0367 0.5000 Pm
0.3208 0.8208 0.8576 Pm
0.4633 0.3208 0.5000 Pm
0.5000 0.5000 0.0000 Pm
0.5367 0.6792 0.5000 Pm
0.6792 0.1792 0.1424 Pm
0.8208 0.9633 0.5000 Pm
0.9633 0.4633 0.1424 Pm
0.1101 0.3899 0.5000 Co
0.3899 0.8899 0.2798 Co
0.6101 0.1101 0.7202 Co
0.8899 0.6101 0.5000 Co
0.2500 0.2500 0.0000 Ir
0.7500 0.7500 0.0000 Ir
```



No. 9
Entry from Alexandria: crystalline PmCoIr at its relaxed geometry (PBE).

Output
As for the space group: P4_12_12, No. 92. Its raw total energy is -83.627 eV per cell. The formation energy is -6 kJ per mole of atoms. For the excess energy over the best structure of this formula in the dataset, the calculation gives 375 meV per atom.

```
PmCoIr
1.0
6.7493 0.0000 0.0000
0.0000 6.7493 0.0000
0.0000 0.0000 5.8335
Pm Co Ir
4 4 4
Direct
0.2463 0.2463 0.0000 Pm
0.2537 0.7463 0.2500 Pm
0.7463 0.2537 0.7500 Pm
0.7537 0.7537 0.5000 Pm
0.1345 0.8655 0.7500 Co
0.3655 0.3655 0.5000 Co
0.6345 0.6345 0.0000 Co
0.8655 0.1345 0.2500 Co
0.1268 0.1268 0.5000 Ir
0.3732 0.6268 0.7500 Ir
0.6268 0.3732 0.2500 Ir
0.8732 0.8732 0.0000 Ir
```



No. 10
Entry from Alexandria: crystalline Pm3CoIr2 at its relaxed geometry (PBE).

Output
As for the space group: Pnma, No. 62. Its raw total energy is -168.478 eV per cell. The formation energy is -49 kJ per mole of atoms.

```
Pm3CoIr2
1.0
11.4099 0.0000 0.0000
0.0000 4.1246 0.0000
0.0000 0.0000 11.7284
Pm Co Ir
12 4 8
Direct
0.0549 0.2500 0.1202 Pm
0.1212 0.7500 0.5570 Pm
0.2034 0.2500 0.8020 Pm
0.2966 0.7500 0.3020 Pm
0.3788 0.2500 0.0570 Pm
0.4451 0.7500 0.6202 Pm
0.5549 0.2500 0.3798 Pm
0.6212 0.7500 0.9430 Pm
0.7034 0.2500 0.6980 Pm
0.7966 0.7500 0.1980 Pm
0.8788 0.2500 0.4430 Pm
0.9451 0.7500 0.8798 Pm
0.1264 0.2500 0.3627 Co
0.3736 0.7500 0.8627 Co
0.6264 0.2500 0.1373 Co
0.8736 0.7500 0.6373 Co
0.0284 0.7500 0.3145 Ir
0.1914 0.7500 0.9866 Ir
0.3086 0.2500 0.4866 Ir
0.4716 0.2500 0.8145 Ir
0.5284 0.7500 0.1855 Ir
0.6914 0.7500 0.5134 Ir
0.8086 0.2500 0.0134 Ir
0.9716 0.2500 0.6855 Ir
```



No. 11
Entry from Alexandria: crystalline Pm8Co2Ir at its relaxed geometry (PBE).

Output
As for the space group: C2/m, No. 12. Its raw total energy is -62.803 eV per cell. The formation energy is -15 kJ per mole of atoms. For the excess energy over the best structure of this formula in the dataset, the calculation gives 0 meV per atom.

```
Pm8Co2Ir
1.0
8.7684 -2.5557 0.0000
8.7684 2.5557 0.0000
-1.2060 0.0000 6.5838
Pm Co Ir
8 2 1
Direct
0.0448 0.0448 0.2871 Pm
0.2002 0.2002 0.8427 Pm
0.3286 0.3286 0.5340 Pm
0.4129 0.4129 0.0731 Pm
0.5871 0.5871 0.9269 Pm
0.6714 0.6714 0.4660 Pm
0.7998 0.7998 0.1573 Pm
0.9552 0.9552 0.7129 Pm
0.2077 0.2077 0.2364 Co
0.7923 0.7923 0.7635 Co
0.5000 0.5000 0.5000 Ir
```



No. 12
Entry from Alexandria: crystalline Pm8Co2Ir at its relaxed geometry (PBE).

Output
As for the space group: Cm, No. 8. Its raw total energy is -62.260 eV per cell. The formation energy is -10 kJ per mole of atoms. For the excess energy over the best structure of this formula in the dataset, the calculation gives 49 meV per atom.

```
Pm8Co2Ir
1.0
4.1036 -6.2698 0.0000
4.1036 6.2698 0.0000
-2.1329 0.0000 6.0125
Pm Co Ir
8 2 1
Direct
0.0000 0.0000 0.0000 Pm
0.0075 0.2767 0.5758 Pm
0.1476 0.5582 0.1895 Pm
0.2767 0.0075 0.5758 Pm
0.4365 0.7055 0.7940 Pm
0.5582 0.1476 0.1895 Pm
0.7055 0.4365 0.7940 Pm
0.7134 0.7134 0.3856 Pm
0.0478 0.6715 0.6920 Co
0.6715 0.0478 0.6920 Co
0.3568 0.3568 0.3831 Ir
```



No. 13
Entry from Alexandria: crystalline Pm2CoIr2 at its relaxed geometry (PBE).

Output
As for the space group: Immm, No. 71. Its raw total energy is -73.641 eV per cell. The formation energy is -48 kJ per mole of atoms.

```
Pm2CoIr2
1.0
4.1727 0.0000 0.0000
0.0000 5.6437 0.0000
0.0000 0.0000 8.7432
Pm Co Ir
4 2 4
Direct
0.0000 0.0000 0.1956 Pm
0.0000 0.0000 0.8044 Pm
0.5000 0.5000 0.3044 Pm
0.5000 0.5000 0.6956 Pm
0.0000 0.5000 0.0000 Co
0.5000 0.0000 0.5000 Co
0.0000 0.2493 0.5000 Ir
0.0000 0.7507 0.5000 Ir
0.5000 0.2507 0.0000 Ir
0.5000 0.7493 0.0000 Ir
```



No. 14
Entry from Alexandria: crystalline Pm3Co3Ir at its relaxed geometry (PBE).

Output
As for the space group: Cmcm, No. 63. Its raw total energy is -92.303 eV per cell. The formation energy is -24 kJ per mole of atoms.

```
Pm3Co3Ir
1.0
2.1657 -5.1039 0.0000
2.1657 5.1039 0.0000
0.0000 0.0000 12.5883
Pm Co Ir
6 6 2
Direct
0.0244 0.9756 0.7500 Pm
0.2695 0.7305 0.1029 Pm
0.2695 0.7305 0.3971 Pm
0.7305 0.2695 0.6029 Pm
0.7305 0.2695 0.8971 Pm
0.9756 0.0244 0.2500 Pm
0.3298 0.6702 0.7500 Co
0.4379 0.5621 0.5873 Co
0.4379 0.5621 0.9127 Co
0.5621 0.4379 0.0873 Co
0.5621 0.4379 0.4127 Co
0.6702 0.3298 0.2500 Co
0.0000 0.0000 0.0000 Ir
0.0000 0.0000 0.5000 Ir
```



No. 15
Entry from Alexandria: crystalline PmCo4Ir at its relaxed geometry (PBE).

Output
As for the space group: F-43m, No. 216. Its raw total energy is -42.018 eV per cell. The formation energy is 0 kJ per mole of atoms.

```
PmCo4Ir
1.0
0.0000 3.5018 3.5018
3.5018 0.0000 3.5018
3.5018 3.5018 0.0000
Pm Co Ir
1 4 1
Direct
0.0000 0.0000 0.0000 Pm
0.1269 0.6244 0.6244 Co
0.6244 0.1269 0.6244 Co
0.6244 0.6244 0.1269 Co
0.6244 0.6244 0.6244 Co
0.2500 0.2500 0.2500 Ir
```



No. 16
Entry from Alexandria: crystalline PmPrCoIr at its relaxed geometry (PBE).

Output
As for the space group: F-43m, No. 216. Its raw total energy is -106.339 eV per cell. The formation energy is -26 kJ per mole of atoms.

```
PmPrCoIr
1.0
7.0378 0.0000 0.0000
0.0000 7.0378 0.0000
0.0000 0.0000 7.0378
Pm Pr Co Ir
4 4 4 4
Direct
0.0000 0.0000 0.0000 Pm
0.0000 0.5000 0.5000 Pm
0.5000 0.0000 0.5000 Pm
0.5000 0.5000 0.0000 Pm
0.0000 0.0000 0.5000 Pr
0.0000 0.5000 0.0000 Pr
0.5000 0.0000 0.0000 Pr
0.5000 0.5000 0.5000 Pr
0.2500 0.2500 0.2500 Co
0.2500 0.7500 0.7500 Co
0.7500 0.2500 0.7500 Co
0.7500 0.7500 0.2500 Co
0.2500 0.2500 0.7500 Ir
0.2500 0.7500 0.2500 Ir
0.7500 0.2500 0.2500 Ir
0.7500 0.7500 0.7500 Ir
```



No. 17
Entry from Alexandria: crystalline PmCoSbIr at its relaxed geometry (PBE).

Output
As for the uncorrected formation energy: -0.23 eV per atom. As for the space group: F-43m, No. 216. Its raw total energy is -103.095 eV per cell.

```
PmCoSbIr
1.0
6.7208 0.0000 0.0000
0.0000 6.7208 0.0000
0.0000 0.0000 6.7208
Pm Co Sb Ir
4 4 4 4
Direct
0.0000 0.0000 0.0000 Pm
0.0000 0.5000 0.5000 Pm
0.5000 0.0000 0.5000 Pm
0.5000 0.5000 0.0000 Pm
0.2500 0.2500 0.7500 Co
0.2500 0.7500 0.2500 Co
0.7500 0.2500 0.2500 Co
0.7500 0.7500 0.7500 Co
0.0000 0.0000 0.5000 Sb
0.0000 0.5000 0.0000 Sb
0.5000 0.0000 0.0000 Sb
0.5000 0.5000 0.5000 Sb
0.2500 0.2500 0.2500 Ir
0.2500 0.7500 0.7500 Ir
0.7500 0.2500 0.7500 Ir
0.7500 0.7500 0.2500 Ir
```



No. 18
Entry from Alexandria: crystalline PmScCoIr at its relaxed geometry (PBE).

Output
As for the space group: F-43m, No. 216. Its raw total energy is -115.230 eV per cell. The formation energy is -42 kJ per mole of atoms.

```
PmScCoIr
1.0
6.6960 0.0000 0.0000
0.0000 6.6960 0.0000
0.0000 0.0000 6.6960
Pm Sc Co Ir
4 4 4 4
Direct
0.0000 0.0000 0.0000 Pm
0.0000 0.5000 0.5000 Pm
0.5000 0.0000 0.5000 Pm
0.5000 0.5000 0.0000 Pm
0.0000 0.0000 0.5000 Sc
0.0000 0.5000 0.0000 Sc
0.5000 0.0000 0.0000 Sc
0.5000 0.5000 0.5000 Sc
0.2500 0.2500 0.7500 Co
0.2500 0.7500 0.2500 Co
0.7500 0.2500 0.2500 Co
0.7500 0.7500 0.7500 Co
0.2500 0.2500 0.2500 Ir
0.2500 0.7500 0.7500 Ir
0.7500 0.2500 0.7500 Ir
0.7500 0.7500 0.2500 Ir
```



No. 19
Entry from Alexandria: crystalline Pm2CoSi3Ir4 at its relaxed geometry (PBE).

Output
As for the uncorrected formation energy: -0.89 eV per atom. As for the space group: P-4m2, No. 115. Its raw total energy is -77.226 eV per cell.

```
Pm2CoSi3Ir4
1.0
4.1410 0.0000 0.0000
0.0000 4.1410 0.0000
0.0000 0.0000 10.0088
Pm Co Si Ir
2 1 3 4
Direct
0.0000 0.5000 0.2462 Pm
0.5000 0.0000 0.7538 Pm
0.5000 0.5000 0.0000 Co
0.0000 0.0000 0.0000 Si
0.0000 0.5000 0.6293 Si
0.5000 0.0000 0.3707 Si
0.0000 0.0000 0.5000 Ir
0.0000 0.5000 0.8696 Ir
0.5000 0.0000 0.1304 Ir
0.5000 0.5000 0.5000 Ir
```



No. 20
Entry from Alexandria: crystalline Pm2CoSi4Ir3 at its relaxed geometry (PBE).

Output
As for the uncorrected formation energy: -0.95 eV per atom. As for the space group: P-4m2, No. 115. Its raw total energy is -74.359 eV per cell.

```
Pm2CoSi4Ir3
1.0
4.1403 0.0000 0.0000
0.0000 4.1403 0.0000
0.0000 0.0000 9.8750
Pm Co Si Ir
2 1 4 3
Direct
0.0000 0.5000 0.2486 Pm
0.5000 0.0000 0.7514 Pm
0.0000 0.0000 0.5000 Co
0.0000 0.0000 0.0000 Si
0.0000 0.5000 0.6254 Si
0.5000 0.0000 0.3746 Si
0.5000 0.5000 0.0000 Si
0.0000 0.5000 0.8713 Ir
0.5000 0.0000 0.1287 Ir
0.5000 0.5000 0.5000 Ir
```



No. 21
Entry from Alexandria: crystalline PmCoSnIr at its relaxed geometry (PBE).

Output
As for the space group: F-43m, No. 216. Its raw total energy is -103.339 eV per cell. The formation energy is -27 kJ per mole of atoms.

```
PmCoSnIr
1.0
6.6941 0.0000 0.0000
0.0000 6.6941 0.0000
0.0000 0.0000 6.6941
Pm Co Sn Ir
4 4 4 4
Direct
0.0000 0.0000 0.0000 Pm
0.0000 0.5000 0.5000 Pm
0.5000 0.0000 0.5000 Pm
0.5000 0.5000 0.0000 Pm
0.2500 0.2500 0.2500 Co
0.2500 0.7500 0.7500 Co
0.7500 0.2500 0.7500 Co
0.7500 0.7500 0.2500 Co
0.0000 0.0000 0.5000 Sn
0.0000 0.5000 0.0000 Sn
0.5000 0.0000 0.0000 Sn
0.5000 0.5000 0.5000 Sn
0.2500 0.2500 0.7500 Ir
0.2500 0.7500 0.2500 Ir
0.7500 0.2500 0.2500 Ir
0.7500 0.7500 0.7500 Ir
```



No. 22
Entry from Alexandria: crystalline PmThCoIr at its relaxed geometry (PBE).

Output
As for the space group: F-43m, No. 216. Its raw total energy is -118.564 eV per cell. The formation energy is -36 kJ per mole of atoms.

```
PmThCoIr
1.0
7.0169 0.0000 0.0000
0.0000 7.0169 0.0000
0.0000 0.0000 7.0169
Pm Th Co Ir
4 4 4 4
Direct
0.0000 0.0000 0.0000 Pm
0.0000 0.5000 0.5000 Pm
0.5000 0.0000 0.5000 Pm
0.5000 0.5000 0.0000 Pm
0.0000 0.0000 0.5000 Th
0.0000 0.5000 0.0000 Th
0.5000 0.0000 0.0000 Th
0.5000 0.5000 0.5000 Th
0.2500 0.2500 0.2500 Co
0.2500 0.7500 0.7500 Co
0.7500 0.2500 0.7500 Co
0.7500 0.7500 0.2500 Co
0.2500 0.2500 0.7500 Ir
0.2500 0.7500 0.2500 Ir
0.7500 0.2500 0.2500 Ir
0.7500 0.7500 0.7500 Ir
```